1.
VASP calculation (PBE-GGA) on crystalline Tb3SbTe at its relaxed geometry.

Calculated values
- Crystal system: monoclinic
- Final energy: -24.746 eV per formula unit
- ΔE_f (raw): -0.72 eV per atom

Geometry as CIF:
```
data_Tb3SbTe
_chemical_formula_sum 'Tb12 Sb4 Te4'
_cell_length_a 17.322
_cell_length_b 4.289
_cell_length_c 10.411
_cell_angle_alpha 90.00
_cell_angle_beta 109.58
_cell_angle_gamma 90.00
_symmetry_space_group_name_H-M 'C 1 2/m 1'
_symmetry_Int_Tables_number 12
loop_
_symmetry_equiv_pos_as_xyz
'x,y,z'
'-x,-y,-z'
'-x,y,-z'
'x,-y,z'
'x+1/2,y+1/2,z'
'-x+1/2,-y+1/2,-z'
'-x+1/2,y+1/2,-z'
'x+1/2,-y+1/2,z'
loop_
_atom_site_label
_atom_site_fract_x
_atom_site_fract_y
_atom_site_fract_z
Tb1 0.015 0.000 0.172
Tb2 0.147 0.500 0.055
Tb3 0.186 0.000 0.565
Sb1 0.123 0.500 0.352
Te1 0.164 0.000 0.839
```

2.
VASP calculation (PBE-GGA) on crystalline Tb6SbTe5 at its relaxed geometry.

Calculated values
- Crystal system: monoclinic
- Final energy: -63.283 eV per formula unit
- ΔE_f (raw): -1.31 eV per atom

Geometry as CIF:
```
data_Tb6SbTe5
_chemical_formula_sum 'Tb12 Sb2 Te10'
_cell_length_a 7.567
_cell_length_b 13.113
_cell_length_c 7.605
_cell_angle_alpha 90.00
_cell_angle_beta 109.35
_cell_angle_gamma 90.00
_symmetry_space_group_name_H-M 'C 1 2/m 1'
_symmetry_Int_Tables_number 12
loop_
_symmetry_equiv_pos_as_xyz
'x,y,z'
'-x,-y,-z'
'-x,y,-z'
'x,-y,z'
'x+1/2,y+1/2,z'
'-x+1/2,-y+1/2,-z'
'-x+1/2,y+1/2,-z'
'x+1/2,-y+1/2,z'
loop_
_atom_site_label
_atom_site_fract_x
_atom_site_fract_y
_atom_site_fract_z
Tb1 0.243 0.000 0.253
Tb2 0.244 0.163 0.744
Sb1 0.000 0.000 0.500
Te1 0.000 0.170 0.000
Te2 0.000 0.334 0.500
Te3 0.000 0.500 0.000
```

3.
VASP calculation (PBE-GGA) on crystalline Tb2SbTe2 at its relaxed geometry.

Calculated values
- Crystal system: monoclinic
- Final energy: -23.739 eV per formula unit
- ΔE_f (raw): -0.81 eV per atom

Geometry as CIF:
```
data_Tb2SbTe2
_chemical_formula_sum 'Tb4 Sb2 Te4'
_cell_length_a 7.473
_cell_length_b 5.889
_cell_length_c 7.525
_cell_angle_alpha 90.00
_cell_angle_beta 103.39
_cell_angle_gamma 90.00
_symmetry_space_group_name_H-M 'C 1 2/m 1'
_symmetry_Int_Tables_number 12
loop_
_symmetry_equiv_pos_as_xyz
'x,y,z'
'-x,-y,-z'
'-x,y,-z'
'x,-y,z'
'x+1/2,y+1/2,z'
'-x+1/2,-y+1/2,-z'
'-x+1/2,y+1/2,-z'
'x+1/2,-y+1/2,z'
loop_
_atom_site_label
_atom_site_fract_x
_atom_site_fract_y
_atom_site_fract_z
Tb1 0.189 0.000 0.216
Sb1 0.000 0.500 0.000
Te1 0.000 0.248 0.500
```

4.
VASP calculation (PBE-GGA) on crystalline Tb7Sb4Te4 at its relaxed geometry.

Calculated values
- Crystal system: tetragonal
- Final energy: -77.900 eV per formula unit
- ΔE_f (raw): -1.10 eV per atom

Geometry as CIF:
```
data_Tb7Sb4Te4
_chemical_formula_sum 'Tb28 Sb16 Te16'
_cell_length_a 15.248
_cell_length_b 15.248
_cell_length_c 8.088
_cell_angle_alpha 90.00
_cell_angle_beta 90.00
_cell_angle_gamma 90.00
_symmetry_space_group_name_H-M 'I 4/m m m'
_symmetry_Int_Tables_number 139
_symmetry_space_group_name_Hall '-I 4 2'
loop_
_atom_site_label
_atom_site_fract_x
_atom_site_fract_y
_atom_site_fract_z
Tb1 0.000 0.000 0.241
Tb2 0.000 0.283 0.000
Tb3 0.000 0.361 0.500
Tb4 0.208 0.208 0.500
Sb1 0.148 0.352 0.250
Te1 0.000 0.164 0.500
Te2 0.122 0.122 0.000
```

5.
VASP calculation (PBE-GGA) on crystalline Tb8Sb4Te3 at its relaxed geometry.

Calculated values
- Crystal system: monoclinic
- Final energy: -79.653 eV per formula unit
- ΔE_f (raw): -1.11 eV per atom

Geometry as CIF:
```
data_Tb8Sb4Te3
_chemical_formula_sum 'Tb16 Sb8 Te6'
_cell_length_a 12.299
_cell_length_b 12.315
_cell_length_c 8.686
_cell_angle_alpha 90.00
_cell_angle_beta 134.82
_cell_angle_gamma 90.00
_symmetry_space_group_name_H-M 'C 1 2/m 1'
_symmetry_Int_Tables_number 12
loop_
_symmetry_equiv_pos_as_xyz
'x,y,z'
'-x,-y,-z'
'-x,y,-z'
'x,-y,z'
'x+1/2,y+1/2,z'
'-x+1/2,-y+1/2,-z'
'-x+1/2,y+1/2,-z'
'x+1/2,-y+1/2,z'
loop_
_atom_site_label
_atom_site_fract_x
_atom_site_fract_y
_atom_site_fract_z
Tb1 0.000 0.246 0.000
Tb2 0.000 0.250 0.500
Tb3 0.246 0.000 0.496
Tb4 0.250 0.000 0.004
Sb1 0.000 0.000 0.000
Sb2 0.000 0.500 0.500
Sb3 0.250 0.250 0.500
Te1 0.000 0.500 0.000
Te2 0.250 0.250 0.000
```

6.
VASP calculation (PBE-GGA) on crystalline TbThSbTe at its relaxed geometry.

Calculated values
- ΔE to the lowest computed polymorph: 0.0 meV/atom
- Crystal system: tetragonal
- Final energy: -23.695 eV per formula unit
- ΔE_f (raw): -1.10 eV per atom

Geometry as CIF:
```
data_TbThSbTe
_chemical_formula_sum 'Tb1 Th1 Sb1 Te1'
_cell_length_a 4.442
_cell_length_b 4.442
_cell_length_c 6.290
_cell_angle_alpha 90.00
_cell_angle_beta 90.00
_cell_angle_gamma 90.00
_symmetry_space_group_name_H-M 'P 4/m m m'
_symmetry_Int_Tables_number 123
_symmetry_space_group_name_Hall '-P 4 2'
loop_
_atom_site_label
_atom_site_fract_x
_atom_site_fract_y
_atom_site_fract_z
Tb1 0.000 0.000 0.000
Th1 0.500 0.500 0.500
Sb1 0.500 0.500 0.000
Te1 0.000 0.000 0.500
```